# 1
VASP calculation (PBE) on a relaxed Ca2Zn4CuSi3 crystal. Values from VASP.

ΔE_f (raw) (kJ/mol of atoms): -26.95
Total magnetization (Bohr magnetons per cell): 0.000
SG: P-4m2

Quantum ESPRESSO input file:
```
&SYSTEM
  ibrav = 0, nat = 10, ntyp = 4
/
ATOMIC_SPECIES
Ca 40.08 Ca.upf
Zn 65.41 Zn.upf
Cu 63.55 Cu.upf
Si 28.09 Si.upf
ATOMIC_POSITIONS crystal
Ca 0.000 0.500 0.250
Ca 0.500 0.000 0.750
Zn 0.000 0.000 0.000
Zn 0.000 0.500 0.635
Zn 0.500 0.000 0.365
Zn 0.500 0.500 0.000
Cu 0.000 0.000 0.500
Si 0.000 0.500 0.861
Si 0.500 0.000 0.139
Si 0.500 0.500 0.500
CELL_PARAMETERS angstrom
4.077 0.000 0.000
0.000 4.077 0.000
0.000 0.000 10.760
```



# 2
VASP calculation (PBE) on a relaxed Sm5Dy2Ho2 crystal. Values from VASP.

Total magnetization (Bohr magnetons per cell): 0.000
SG: C2/m
Polymorph energy (0 for the lowest one) (eV per atom): 0.000

Quantum ESPRESSO input file:
```
&SYSTEM
  ibrav = 0, nat = 9, ntyp = 3
/
ATOMIC_SPECIES
Sm 150.36 Sm.upf
Dy 162.50 Dy.upf
Ho 164.93 Ho.upf
ATOMIC_POSITIONS crystal
Sm 0.000 0.000 0.000
Sm 0.223 0.223 0.335
Sm 0.333 0.333 0.999
Sm 0.667 0.667 0.001
Sm 0.777 0.777 0.665
Dy 0.445 0.445 0.665
Dy 0.555 0.555 0.335
Ho 0.110 0.110 0.666
Ho 0.890 0.890 0.334
CELL_PARAMETERS angstrom
7.611 -2.535 0.000
7.611 2.535 0.000
-2.542 0.000 7.598
```



# 3
VASP calculation (PBE) on a relaxed Nd2SmTm crystal. Values from VASP.

Total magnetization (Bohr magnetons per cell): 0.000
SG: Fm-3m
Polymorph energy (0 for the lowest one) (eV per atom): 0.107

Quantum ESPRESSO input file:
```
&SYSTEM
  ibrav = 0, nat = 4, ntyp = 3
/
ATOMIC_SPECIES
Nd 144.24 Nd.upf
Sm 150.36 Sm.upf
Tm 168.93 Tm.upf
ATOMIC_POSITIONS crystal
Nd 0.250 0.250 0.250
Nd 0.750 0.750 0.750
Sm 0.000 0.000 0.000
Tm 0.500 0.500 0.500
CELL_PARAMETERS angstrom
0.000 4.071 4.071
4.071 0.000 4.071
4.071 4.071 0.000
```



# 4
VASP calculation (PBE) on a relaxed VMoOs3 crystal. Values from VASP.

Total magnetization (Bohr magnetons per cell): 1.761
SG: Pm-3m
Polymorph energy (0 for the lowest one) (eV per atom): 0.000

Quantum ESPRESSO input file:
```
&SYSTEM
  ibrav = 0, nat = 5, ntyp = 3
/
ATOMIC_SPECIES
V 50.94 V.upf
Mo 95.94 Mo.upf
Os 190.23 Os.upf
ATOMIC_POSITIONS crystal
V 0.000 0.000 0.000
Mo 0.500 0.500 0.500
Os 0.000 0.000 0.500
Os 0.000 0.500 0.000
Os 0.500 0.000 0.000
CELL_PARAMETERS angstrom
4.440 0.000 0.000
0.000 4.440 0.000
0.000 0.000 4.440
```



# 5
VASP calculation (PBE) on a relaxed SrGeS2 crystal. Values from VASP.

ΔE_f (raw) (kJ/mol of atoms): -113.98
Total magnetization (Bohr magnetons per cell): 0.000
SG: C2/m

Quantum ESPRESSO input file:
```
&SYSTEM
  ibrav = 0, nat = 8, ntyp = 3
/
ATOMIC_SPECIES
Sr 87.62 Sr.upf
Ge 72.64 Ge.upf
S 32.06 S.upf
ATOMIC_POSITIONS crystal
Sr 0.000 0.000 0.000
Sr 0.500 0.500 0.500
Ge 0.249 0.249 0.588
Ge 0.751 0.751 0.412
S 0.116 0.116 0.704
S 0.391 0.391 0.791
S 0.609 0.609 0.209
S 0.884 0.884 0.296
CELL_PARAMETERS angstrom
7.030 -2.217 0.000
7.030 2.217 0.000
-1.631 0.000 7.589
```



# 6
VASP calculation (PBE) on a relaxed LaYCoRh crystal. Values from VASP.

Total magnetization (Bohr magnetons per cell): 0.638
SG: F-43m

Quantum ESPRESSO input file:
```
&SYSTEM
  ibrav = 0, nat = 4, ntyp = 4
/
ATOMIC_SPECIES
La 138.91 La.upf
Y 88.91 Y.upf
Co 58.93 Co.upf
Rh 102.91 Rh.upf
ATOMIC_POSITIONS crystal
La 0.000 0.000 0.000
Y 0.500 0.500 0.500
Co 0.250 0.250 0.250
Rh 0.750 0.750 0.750
CELL_PARAMETERS angstrom
0.000 3.485 3.485
3.485 0.000 3.485
3.485 3.485 0.000
```



# 7
VASP calculation (PBE) on a relaxed Y2ReNi crystal. Values from VASP.

Total magnetization (Bohr magnetons per cell): 0.856
SG: F-43m

Quantum ESPRESSO input file:
```
&SYSTEM
  ibrav = 0, nat = 4, ntyp = 3
/
ATOMIC_SPECIES
Y 88.91 Y.upf
Re 186.21 Re.upf
Ni 58.69 Ni.upf
ATOMIC_POSITIONS crystal
Y 0.000 0.000 0.000
Y 0.250 0.250 0.250
Re 0.500 0.500 0.500
Ni 0.750 0.750 0.750
CELL_PARAMETERS angstrom
0.000 3.375 3.375
3.375 0.000 3.375
3.375 3.375 0.000
```



# 8
VASP calculation (PBE) on a relaxed Rb3Pb2F7 crystal. Values from VASP.

ΔE_f (raw) (kJ/mol of atoms): -238.79
Total magnetization (Bohr magnetons per cell): 0.000
SG: Cmmm
Polymorph energy (0 for the lowest one) (eV per atom): 0.047

Quantum ESPRESSO input file:
```
&SYSTEM
  ibrav = 0, nat = 12, ntyp = 3
/
ATOMIC_SPECIES
Rb 85.47 Rb.upf
Pb 207.20 Pb.upf
F 19.00 F.upf
ATOMIC_POSITIONS crystal
Rb 0.000 0.000 0.000
Rb 0.195 0.805 0.000
Rb 0.805 0.195 0.000
Pb 0.391 0.609 0.500
Pb 0.609 0.391 0.500
F 0.104 0.896 0.500
F 0.293 0.707 0.500
F 0.372 0.628 0.000
F 0.500 0.500 0.500
F 0.628 0.372 0.000
F 0.707 0.293 0.500
F 0.896 0.104 0.500
CELL_PARAMETERS angstrom
2.483 -11.815 0.000
2.483 11.815 0.000
0.000 0.000 4.657
```



# 9
VASP calculation (PBE) on a relaxed PrSm6Dy2Ho3 crystal. Values from VASP.

Total magnetization (Bohr magnetons per cell): 0.000
SG: C2/m

Quantum ESPRESSO input file:
```
&SYSTEM
  ibrav = 0, nat = 12, ntyp = 4
/
ATOMIC_SPECIES
Pr 140.91 Pr.upf
Sm 150.36 Sm.upf
Dy 162.50 Dy.upf
Ho 164.93 Ho.upf
ATOMIC_POSITIONS crystal
Pr 0.000 0.000 0.000
Sm 0.085 0.419 0.252
Sm 0.250 0.250 0.748
Sm 0.419 0.085 0.252
Sm 0.581 0.915 0.748
Sm 0.750 0.750 0.252
Sm 0.915 0.581 0.748
Dy 0.333 0.667 0.000
Dy 0.667 0.333 0.000
Ho 0.167 0.833 0.500
Ho 0.500 0.500 0.500
Ho 0.833 0.167 0.500
CELL_PARAMETERS angstrom
3.116 -5.395 0.000
3.116 5.395 0.000
-2.071 0.000 11.706
```



# 10
VASP calculation (PBE) on a relaxed Hf2ZrScTi crystal. Values from VASP.

Total magnetization (Bohr magnetons per cell): 0.000
SG: Cmcm

Quantum ESPRESSO input file:
```
&SYSTEM
  ibrav = 0, nat = 10, ntyp = 4
/
ATOMIC_SPECIES
Hf 178.49 Hf.upf
Zr 91.22 Zr.upf
Sc 44.96 Sc.upf
Ti 47.87 Ti.upf
ATOMIC_POSITIONS crystal
Hf 0.178 0.822 0.557
Hf 0.178 0.822 0.943
Hf 0.822 0.178 0.057
Hf 0.822 0.178 0.443
Zr 0.000 0.000 0.000
Zr 0.000 0.000 0.500
Sc 0.415 0.585 0.750
Sc 0.585 0.415 0.250
Ti 0.225 0.775 0.250
Ti 0.775 0.225 0.750
CELL_PARAMETERS angstrom
1.524 -8.904 0.000
1.524 8.904 0.000
0.000 0.000 8.792
```



# 11
VASP calculation (PBE) on a relaxed TaTl2Pb crystal. Values from VASP.

Total magnetization (Bohr magnetons per cell): 0.000
SG: R3m
Polymorph energy (0 for the lowest one) (eV per atom): 0.011

Quantum ESPRESSO input file:
```
&SYSTEM
  ibrav = 0, nat = 4, ntyp = 3
/
ATOMIC_SPECIES
Ta 180.95 Ta.upf
Tl 204.38 Tl.upf
Pb 207.20 Pb.upf
ATOMIC_POSITIONS crystal
Ta 0.000 0.000 0.000
Tl 0.261 0.261 0.261
Tl 0.509 0.509 0.509
Pb 0.741 0.741 0.741
CELL_PARAMETERS angstrom
1.615 0.932 11.543
-1.615 0.932 11.543
0.000 -1.865 11.543
```



# 12
VASP calculation (PBE) on a relaxed LaHf2Co2 crystal. Values from VASP.

Total magnetization (Bohr magnetons per cell): 0.020
SG: P4/mbm
Polymorph energy (0 for the lowest one) (eV per atom): 0.192

Quantum ESPRESSO input file:
```
&SYSTEM
  ibrav = 0, nat = 10, ntyp = 3
/
ATOMIC_SPECIES
La 138.91 La.upf
Hf 178.49 Hf.upf
Co 58.93 Co.upf
ATOMIC_POSITIONS crystal
La 0.000 0.000 0.000
La 0.500 0.500 0.000
Hf 0.141 0.359 0.000
Hf 0.359 0.859 0.000
Hf 0.641 0.141 0.000
Hf 0.859 0.641 0.000
Co 0.141 0.641 0.500
Co 0.359 0.141 0.500
Co 0.641 0.859 0.500
Co 0.859 0.359 0.500
CELL_PARAMETERS angstrom
7.882 0.000 0.000
0.000 7.882 0.000
0.000 0.000 2.979
```



# 13
VASP calculation (PBE) on a relaxed GeAsC2 crystal. Values from VASP.

Total magnetization (Bohr magnetons per cell): 0.000
SG: Fm-3m
Polymorph energy (0 for the lowest one) (eV per atom): 1.207

Quantum ESPRESSO input file:
```
&SYSTEM
  ibrav = 0, nat = 4, ntyp = 3
/
ATOMIC_SPECIES
Ge 72.64 Ge.upf
As 74.92 As.upf
C 12.01 C.upf
ATOMIC_POSITIONS crystal
Ge 0.000 0.000 0.000
As 0.500 0.500 0.500
C 0.250 0.250 0.250
C 0.750 0.750 0.750
CELL_PARAMETERS angstrom
0.000 2.881 2.881
2.881 0.000 2.881
2.881 2.881 0.000
```



# 14
VASP calculation (PBE) on a relaxed BaLaTa2Co crystal. Values from VASP.

Total magnetization (Bohr magnetons per cell): 0.000
SG: P4/mmm

Quantum ESPRESSO input file:
```
&SYSTEM
  ibrav = 0, nat = 5, ntyp = 4
/
ATOMIC_SPECIES
Ba 137.33 Ba.upf
La 138.91 La.upf
Ta 180.95 Ta.upf
Co 58.93 Co.upf
ATOMIC_POSITIONS crystal
Ba 0.000 0.000 0.000
La 0.500 0.500 0.500
Ta 0.000 0.500 0.000
Ta 0.500 0.000 0.000
Co 0.000 0.000 0.500
CELL_PARAMETERS angstrom
5.254 0.000 0.000
0.000 5.254 0.000
0.000 0.000 4.819
```



# 15
VASP calculation (PBE) on a relaxed HfMgOsRh crystal. Values from VASP.

Total magnetization (Bohr magnetons per cell): 0.000
SG: F-43m

Quantum ESPRESSO input file:
```
&SYSTEM
  ibrav = 0, nat = 4, ntyp = 4
/
ATOMIC_SPECIES
Hf 178.49 Hf.upf
Mg 24.30 Mg.upf
Os 190.23 Os.upf
Rh 102.91 Rh.upf
ATOMIC_POSITIONS crystal
Hf 0.000 0.000 0.000
Mg 0.500 0.500 0.500
Os 0.750 0.750 0.750
Rh 0.250 0.250 0.250
CELL_PARAMETERS angstrom
0.000 3.190 3.190
3.190 0.000 3.190
3.190 3.190 0.000
```



# 16
VASP calculation (PBE) on a relaxed Sr3Ac5H12 crystal. Values from VASP.

Total magnetization (Bohr magnetons per cell): 6.275
SG: Ia-3d

Quantum ESPRESSO input file:
```
&SYSTEM
  ibrav = 0, nat = 80, ntyp = 3
/
ATOMIC_SPECIES
Sr 87.62 Sr.upf
Ac 227.00 Ac.upf
H 1.01 H.upf
ATOMIC_POSITIONS crystal
Sr 0.125 0.250 0.375
Sr 0.125 0.375 0.750
Sr 0.250 0.375 0.125
Sr 0.250 0.875 0.625
Sr 0.375 0.125 0.250
Sr 0.375 0.750 0.125
Sr 0.625 0.250 0.875
Sr 0.625 0.875 0.750
Sr 0.750 0.125 0.375
Sr 0.750 0.625 0.875
Sr 0.875 0.625 0.250
Sr 0.875 0.750 0.625
Ac 0.000 0.000 0.000
Ac 0.000 0.000 0.500
Ac 0.000 0.500 0.000
Ac 0.000 0.500 0.500
Ac 0.125 0.750 0.875
Ac 0.125 0.875 0.250
Ac 0.250 0.125 0.875
Ac 0.250 0.625 0.375
Ac 0.375 0.250 0.625
Ac 0.375 0.625 0.750
Ac 0.500 0.000 0.000
Ac 0.500 0.000 0.500
Ac 0.500 0.500 0.000
Ac 0.500 0.500 0.500
Ac 0.625 0.375 0.250
Ac 0.625 0.750 0.375
Ac 0.750 0.375 0.625
Ac 0.750 0.875 0.125
Ac 0.875 0.125 0.750
Ac 0.875 0.250 0.125
H 0.057 0.717 0.659
H 0.057 0.840 0.398
H 0.058 0.217 0.160
H 0.058 0.341 0.898
H 0.102 0.660 0.443
H 0.102 0.942 0.659
H 0.159 0.217 0.557
H 0.159 0.442 0.602
H 0.160 0.058 0.217
H 0.160 0.602 0.943
H 0.217 0.160 0.058
H 0.217 0.557 0.159
H 0.283 0.341 0.943
H 0.283 0.442 0.340
H 0.340 0.283 0.442
H 0.340 0.557 0.898
H 0.341 0.898 0.058
H 0.341 0.943 0.283
H 0.398 0.057 0.840
H 0.398 0.841 0.558
H 0.442 0.340 0.283
H 0.442 0.602 0.159
H 0.443 0.102 0.660
H 0.443 0.841 0.783
H 0.557 0.159 0.217
H 0.557 0.898 0.340
H 0.558 0.398 0.841
H 0.558 0.660 0.717
H 0.602 0.159 0.442
H 0.602 0.943 0.160
H 0.659 0.057 0.717
H 0.659 0.102 0.942
H 0.660 0.443 0.102
H 0.660 0.717 0.558
H 0.717 0.558 0.660
H 0.717 0.659 0.057
H 0.783 0.443 0.841
H 0.783 0.840 0.942
H 0.840 0.398 0.057
H 0.840 0.942 0.783
H 0.841 0.558 0.398
H 0.841 0.783 0.443
H 0.898 0.058 0.341
H 0.898 0.340 0.557
H 0.942 0.659 0.102
H 0.942 0.783 0.840
H 0.943 0.160 0.602
H 0.943 0.283 0.341
CELL_PARAMETERS angstrom
-7.419 7.419 7.419
7.419 -7.419 7.419
7.419 7.419 -7.419
```



# 17
VASP calculation (PBE) on a relaxed Hf3MnSe6 crystal. Values from VASP.

ΔE_f (raw) (kJ/mol of atoms): -91.20
Total magnetization (Bohr magnetons per cell): 8.579
SG: R-3

Quantum ESPRESSO input file:
```
&SYSTEM
  ibrav = 0, nat = 20, ntyp = 3
/
ATOMIC_SPECIES
Hf 178.49 Hf.upf
Mn 54.94 Mn.upf
Se 78.96 Se.upf
ATOMIC_POSITIONS crystal
Hf 0.074 0.213 0.589
Hf 0.213 0.589 0.074
Hf 0.411 0.926 0.787
Hf 0.589 0.074 0.213
Hf 0.787 0.411 0.926
Hf 0.926 0.787 0.411
Mn 0.000 0.000 0.000
Mn 0.500 0.500 0.500
Se 0.085 0.878 0.692
Se 0.122 0.308 0.915
Se 0.178 0.535 0.406
Se 0.308 0.915 0.122
Se 0.406 0.178 0.535
Se 0.465 0.594 0.822
Se 0.535 0.406 0.178
Se 0.594 0.822 0.465
Se 0.692 0.085 0.878
Se 0.822 0.465 0.594
Se 0.878 0.692 0.085
Se 0.915 0.122 0.308
CELL_PARAMETERS angstrom
5.411 3.124 4.608
-5.411 3.124 4.608
0.000 -6.248 4.608
```



# 18
VASP calculation (PBE) on a relaxed ReSiP2 crystal. Values from VASP.

ΔE_f (raw) (kJ/mol of atoms): 40.00
Total magnetization (Bohr magnetons per cell): 0.000
SG: Cmmm

Quantum ESPRESSO input file:
```
&SYSTEM
  ibrav = 0, nat = 4, ntyp = 3
/
ATOMIC_SPECIES
Re 186.21 Re.upf
Si 28.09 Si.upf
P 30.97 P.upf
ATOMIC_POSITIONS crystal
Re 0.000 0.000 0.000
Si 0.500 0.500 0.000
P 0.000 0.500 0.500
P 0.500 0.000 0.500
CELL_PARAMETERS angstrom
2.592 -3.439 0.000
2.592 3.439 0.000
0.000 0.000 3.022
```



# 19
VASP calculation (PBE) on a relaxed Er5Tm5Sb6 crystal. Values from VASP.

ΔE_f (raw) (kJ/mol of atoms): -84.02
Total magnetization (Bohr magnetons per cell): 0.005
SG: Amm2

Quantum ESPRESSO input file:
```
&SYSTEM
  ibrav = 0, nat = 16, ntyp = 3
/
ATOMIC_SPECIES
Er 167.26 Er.upf
Tm 168.93 Tm.upf
Sb 121.76 Sb.upf
ATOMIC_POSITIONS crystal
Er 0.000 0.000 0.000
Er 0.250 0.088 0.421
Er 0.250 0.421 0.088
Er 0.750 0.088 0.421
Er 0.750 0.421 0.088
Tm 0.000 0.509 0.755
Tm 0.000 0.755 0.509
Tm 0.500 0.000 0.754
Tm 0.500 0.509 0.509
Tm 0.500 0.754 0.000
Sb 0.000 0.144 0.754
Sb 0.000 0.366 0.366
Sb 0.000 0.754 0.144
Sb 0.500 0.144 0.144
Sb 0.500 0.365 0.754
Sb 0.500 0.754 0.365
CELL_PARAMETERS angstrom
6.236 0.000 0.000
0.000 7.692 4.436
0.000 -7.692 4.436
```



# 20
VASP calculation (PBE) on a relaxed CaNd12Y3 crystal. Values from VASP.

Total magnetization (Bohr magnetons per cell): 0.000
SG: P4/mmm

Quantum ESPRESSO input file:
```
&SYSTEM
  ibrav = 0, nat = 16, ntyp = 3
/
ATOMIC_SPECIES
Ca 40.08 Ca.upf
Nd 144.24 Nd.upf
Y 88.91 Y.upf
ATOMIC_POSITIONS crystal
Ca 0.000 0.000 0.000
Nd 0.000 0.500 0.129
Nd 0.000 0.500 0.376
Nd 0.000 0.500 0.624
Nd 0.000 0.500 0.871
Nd 0.500 0.000 0.129
Nd 0.500 0.000 0.376
Nd 0.500 0.000 0.624
Nd 0.500 0.000 0.871
Nd 0.500 0.500 0.000
Nd 0.500 0.500 0.251
Nd 0.500 0.500 0.500
Nd 0.500 0.500 0.749
Y 0.000 0.000 0.251
Y 0.000 0.000 0.500
Y 0.000 0.000 0.749
CELL_PARAMETERS angstrom
5.191 0.000 0.000
0.000 5.191 0.000
0.000 0.000 20.734
```



# 21
VASP calculation (PBE) on a relaxed RbNaSi crystal. Values from VASP.

ΔE_f (raw) (kJ/mol of atoms): 7.52
Total magnetization (Bohr magnetons per cell): 0.000
SG: P-1

Quantum ESPRESSO input file:
```
&SYSTEM
  ibrav = 0, nat = 6, ntyp = 3
/
ATOMIC_SPECIES
Rb 85.47 Rb.upf
Na 22.99 Na.upf
Si 28.09 Si.upf
ATOMIC_POSITIONS crystal
Rb 0.143 0.384 0.285
Rb 0.857 0.616 0.715
Na 0.405 0.119 0.812
Na 0.595 0.881 0.188
Si 0.236 0.905 0.471
Si 0.764 0.095 0.529
CELL_PARAMETERS angstrom
3.887 0.000 0.000
-0.002 7.023 0.000
-1.939 -0.614 8.469
```



Taking the records one at a time from the top gives raw total energy values of -3.2257 -4.6451 -4.5589 -9.0388 -4.8198 -6.8240 -7.3607 -4.4264 -4.6538 -8.1348 -4.6711 -7.8442 -4.6917 -5.4051 -8.0345 -3.6300 -6.9389 -6.7582 -5.2400 -4.8878 -2.4920 eV/atom.